1.
# PBE Pm2CuBi, relaxed
data_Pm2CuBi
_chemical_formula_sum 'Pm2 Cu1 Bi1'
_cell_length_a 5.131
_cell_length_b 5.131
_cell_length_c 4.100
_cell_angle_alpha 90.00
_cell_angle_beta 90.00
_cell_angle_gamma 90.00
_symmetry_space_group_name_H-M 'P 4/m m m'
_symmetry_Int_Tables_number 123
_symmetry_space_group_name_Hall '-P 4 2'
loop_
_atom_site_label
_atom_site_fract_x
_atom_site_fract_y
_atom_site_fract_z
Pm1 0.000 0.500 0.000
Cu1 0.000 0.000 0.500
Bi1 0.500 0.500 0.500
# **M_tot**: 0.00 μB/f.u.
# **Energy above the most stable polymorph in this dataset**: 0.0000 eV per atom



2.
# PBE Pm4CuBi2, relaxed
data_Pm4CuBi2
_chemical_formula_sum 'Pm8 Cu2 Bi4'
_cell_length_a 5.206
_cell_length_b 5.206
_cell_length_c 16.887
_cell_angle_alpha 90.00
_cell_angle_beta 90.00
_cell_angle_gamma 90.00
_symmetry_space_group_name_H-M 'I 4/m m m'
_symmetry_Int_Tables_number 139
_symmetry_space_group_name_Hall '-I 4 2'
loop_
_atom_site_label
_atom_site_fract_x
_atom_site_fract_y
_atom_site_fract_z
Pm1 0.000 0.000 0.172
Pm2 0.000 0.500 0.000
Cu1 0.000 0.000 0.000
Bi1 0.000 0.000 0.363
# **M_tot**: 0.00 μB/f.u.



3.
# PBE PmCu2Bi, relaxed
data_PmCu2Bi
_chemical_formula_sum 'Pm1 Cu2 Bi1'
_cell_length_a 4.492
_cell_length_b 4.492
_cell_length_c 4.251
_cell_angle_alpha 90.00
_cell_angle_beta 90.00
_cell_angle_gamma 90.00
_symmetry_space_group_name_H-M 'P 4/m m m'
_symmetry_Int_Tables_number 123
_symmetry_space_group_name_Hall '-P 4 2'
loop_
_atom_site_label
_atom_site_fract_x
_atom_site_fract_y
_atom_site_fract_z
Pm1 0.000 0.000 0.000
Cu1 0.000 0.500 0.500
Bi1 0.500 0.500 0.000
# **M_tot**: 0.00 μB/f.u.



Number 1: formation energy from the elements -38.06 kJ per mole of atoms. Number 2: formation energy from the elements -38.80 kJ per mole of atoms. Number 3: formation energy from the elements -13.14 kJ per mole of atoms.